LiV2O3F3 (PBE+U, relaxed); energy relative to the lowest polymorph listed for this composition = 0.0022 eV per atom; magnetization = 6.00 Bohr magnetons per cell; SG = P1, No. 1
1.0
5.119 -0.003 0.004
2.442 4.511 -0.010
0.432 0.088 13.525
Li V O F
3 6 9 9
direct
0.954 0.031 0.285
0.343 0.313 0.127
0.045 0.970 0.786
0.033 0.982 0.499
0.983 0.982 0.004
0.697 0.665 0.665
0.615 0.674 0.154
0.410 0.310 0.826
0.318 0.365 0.342
0.920 0.747 0.589
0.712 0.941 0.089
0.652 0.269 0.915
0.579 0.388 0.249
0.412 0.593 0.749
0.334 0.692 0.083
0.626 0.997 0.756
0.255 0.691 0.422
0.096 0.257 0.415
0.964 0.329 0.086
0.745 0.326 0.581
0.340 0.017 0.242
0.333 0.945 0.592
0.686 0.069 0.412
0.062 0.672 0.904
0.239 0.083 0.907
0.982 0.632 0.254
0.015 0.365 0.748